No. 1
Compound: KHC2O4
Source: Alexandria
Functional: GGA-PBEsol
Structure: optimized geometry

Properties
Total DFT energy (no corrections): -6.926 eV per atom
D(E_F): 0.0 states/eV per cell

abc: 4.3157 12.8170 7.7105
angles: 90.00 103.53 90.00
Last column: nearest neighbours and their distance in Å.
Space group P2_1/c (No. 14)
Unique sites:
K 0.1847 0.0657 0.2747 (multiplicity 4)  7 O 2.70-2.96
H 0.1241 0.7253 0.9647 (multiplicity 4)  1 O 1.12
C 0.3160 0.1543 0.7161 (multiplicity 4)  2 O 1.25-1.28
C 0.3936 0.6732 0.6253 (multiplicity 4)  2 O 1.24-1.31
O 0.1281 0.2319 0.6735 (multiplicity 4)  1 C 1.28, 1 H 1.34
O 0.2328 0.5982 0.5546 (multiplicity 4)  1 C 1.24
O 0.2884 0.0661 0.6451 (multiplicity 4)  1 C 1.25
O 0.3413 0.7293 0.0777 (multiplicity 4)  1 H 1.12


No. 2
Compound: KMgSe2N
Source: Alexandria
Functional: GGA-PBEsol
Structure: optimized geometry

Properties
E_form (uncorrected): 1.221 eV/atom
D(E_F): 4.3 states/eV per cell

abc: 5.5797 5.5797 4.6682
angles: 90.00 90.00 90.00
Last column: nearest neighbours and their distance in Å.
Space group P4/mmm (No. 123)
Unique sites:
K 0.0000 0.0000 0.0000 (multiplicity 1)  2 N 2.33
Mg 0.5000 0.5000 0.5000 (multiplicity 1)  8 Se 3.64, 4 N 3.95
Se 0.0000 0.5000 0.0000 (multiplicity 2)  2 K 2.79
N 0.0000 0.0000 0.5000 (multiplicity 1)  2 K 2.33


No. 3
Compound: CaRe2Br
Source: Alexandria
Functional: GGA-PBEsol
Structure: optimized geometry

Properties
E_form (uncorrected): 0.414 eV/atom
D(E_F): 5.1 states/eV per cell
Energy relative to the lowest polymorph listed for this composition: 3.532 kcal/mol of atoms

abc: 11.5639 3.4022 4.3378
angles: 90.00 100.31 90.00
Last column: nearest neighbours and their distance in Å.
Space group C2/m (No. 12)
Unique sites:
Ca 0.0000 0.0000 0.0000 (multiplicity 2)  4 Br 2.76
Re 0.2221 0.5000 0.8150 (multiplicity 4)  2 Re 2.35
Br 0.0000 0.5000 0.5000 (multiplicity 2)  2 Re 2.68, 4 Ca 2.76


No. 4
Compound: AgPOs2
Source: Alexandria
Functional: GGA-PBEsol
Structure: optimized geometry

Properties
D(E_F): 3.0 states/eV per cell
E_form: 47.32 kJ/mol of atoms

abc: 2.7881 3.7803 5.6334
angles: 90.00 90.00 90.00
Last column: nearest neighbours and their distance in Å.
Space group Pmm2 (No. 25)
Unique sites:
Ag 0.0000 0.0000 0.0000 (multiplicity 1)  6 Os 2.76-2.87, 2 Ag 2.79, 4 P 2.90
P 0.5000 0.5000 0.6969 (multiplicity 1)  1 Os 2.33
Os 0.0000 0.0000 0.4898 (multiplicity 1)  6 Os 2.62-2.79, 4 P 2.62, 2 Ag 2.76-2.87
Os 0.5000 0.5000 0.2833 (multiplicity 1)  1 P 2.33


No. 5
Compound: KLi2Au
Source: Alexandria
Functional: GGA-PBEsol
Structure: optimized geometry

Properties
D(E_F): 2.9 states/eV per cell
E_form: 5.48 kJ/mol of atoms

abc: 6.3079 9.7448 3.4284
angles: 90.00 119.92 90.00
Last column: nearest neighbours and their distance in Å.
Space group C2/m (No. 12)
Unique sites:
K 0.0000 0.0000 0.0000 (multiplicity 2)  4 Li 2.94, 2 Au 3.15
Li 0.2500 0.2500 0.5000 (multiplicity 4)  2 K 2.94, 2 Au 2.94, 2 Li 3.15
Au 0.0000 0.5000 0.0000 (multiplicity 2)  4 Li 2.94, 2 K 3.15


No. 6
Compound: InAgP2S6
Source: Alexandria
Functional: GGA-PBEsol
Structure: optimized geometry

Properties
E_form (uncorrected): -0.332 eV/atom

abc: 6.1278 6.1278 13.0540
angles: 90.00 90.00 120.00
Last column: nearest neighbours and their distance in Å.
Space group P-31c (No. 163)
Unique sites:
In 0.0000 0.0000 0.2500 (multiplicity 2)  6 S 2.65
Ag 0.3333 0.6667 0.2500 (multiplicity 2)  6 S 2.72
P 0.3333 0.6667 0.6641 (multiplicity 4)  3 S 2.03, 1 P 2.24
S 0.0204 0.3425 0.6209 (multiplicity 12)  1 P 2.03


No. 7
Compound: Rb2HfInPd
Source: Alexandria
Functional: GGA-PBEsol
Structure: optimized geometry

Properties
D(E_F): 5.8 states/eV per cell
E_form: 94.68 kJ/mol of atoms

abc: 6.8266 6.8266 4.7103
angles: 90.00 90.00 90.00
Last column: nearest neighbours and their distance in Å.
Space group P4/mmm (No. 123)
Unique sites:
Rb 0.0000 0.5000 0.0000 (multiplicity 2)  2 Hf 3.41
Hf 0.0000 0.0000 0.0000 (multiplicity 1)  2 Pd 2.36
In 0.5000 0.5000 0.5000 (multiplicity 1)  8 Rb 4.15
Pd 0.0000 0.0000 0.5000 (multiplicity 1)  2 Hf 2.36


No. 8
Compound: BePbF3
Source: Alexandria
Functional: GGA-PBEsol
Structure: optimized geometry

Properties
E_form (uncorrected): -1.040 eV/atom
D(E_F): 1.5 states/eV per cell

abc: 4.6512 4.6512 4.6512
angles: 90.00 90.00 90.00
Last column: nearest neighbours and their distance in Å.
Space group Pm-3m (No. 221)
Unique sites:
Be 0.0000 0.0000 0.0000 (multiplicity 1)  12 F 3.29
Pb 0.5000 0.5000 0.5000 (multiplicity 1)  6 F 2.33
F 0.0000 0.5000 0.5000 (multiplicity 3)  2 Pb 2.33


Values for calculated volume, Å³/cell, ordered as above
415 145 168 59 183 425 220 101
Values for total moment, Bohr magnetons per cell, ordered as above
0.000 3.164 0.000 0.000 0.000 0.000 0.354 0.804